No. 1
! CuSnAu2, optimized geometry, DFT GGA-PBE; values from VASP
! - symmetry = No. 122
! - energy of formation from the pure elements (meV per atom) = 51.6
! - DOS at the Fermi energy (states/eV/cell) = 6.5
&SYSTEM
  ibrav = 0, nat = 16, ntyp = 3
/
ATOMIC_SPECIES
Cu 63.55 Cu.upf
Sn 118.71 Sn.upf
Au 196.97 Au.upf
CELL_PARAMETERS angstrom
7.644 0.000 0.000
0.000 7.644 0.000
0.000 0.000 5.399
ATOMIC_POSITIONS crystal
Cu 0.000 0.000 0.000
Cu 0.000 0.500 0.250
Cu 0.500 0.000 0.750
Cu 0.500 0.500 0.500
Sn 0.000 0.000 0.500
Sn 0.000 0.500 0.750
Sn 0.500 0.000 0.250
Sn 0.500 0.500 0.000
Au 0.223 0.250 0.125
Au 0.250 0.723 0.375
Au 0.250 0.777 0.875
Au 0.277 0.250 0.625
Au 0.723 0.750 0.625
Au 0.750 0.223 0.875
Au 0.750 0.277 0.375
Au 0.777 0.750 0.125

---

No. 2
! CuSnAu, optimized geometry, DFT GGA-PBE; values from VASP
! - ΔE to the lowest computed polymorph (eV/atom) = 0.000
! - symmetry = No. 139
! - energy of formation from the pure elements (meV per atom) = -95.7
! - DOS at the Fermi energy (states/eV/cell) = 3.8
&SYSTEM
  ibrav = 0, nat = 12, ntyp = 3
/
ATOMIC_SPECIES
Cu 63.55 Cu.upf
Sn 118.71 Sn.upf
Au 196.97 Au.upf
CELL_PARAMETERS angstrom
4.178 0.000 0.000
0.000 4.178 0.000
0.000 0.000 12.936
ATOMIC_POSITIONS crystal
Cu 0.000 0.500 0.000
Cu 0.000 0.500 0.500
Cu 0.500 0.000 0.000
Cu 0.500 0.000 0.500
Sn 0.000 0.000 0.155
Sn 0.000 0.000 0.845
Sn 0.500 0.500 0.345
Sn 0.500 0.500 0.655
Au 0.000 0.000 0.369
Au 0.000 0.000 0.631
Au 0.500 0.500 0.131
Au 0.500 0.500 0.869

---

No. 3
! Cu2Sn2Au, optimized geometry, DFT GGA-PBE; values from VASP
! - ΔE to the lowest computed polymorph (eV/atom) = 0.085
! - symmetry = No. 139
! - energy of formation from the pure elements (meV per atom) = 107.1
! - DOS at the Fermi energy (states/eV/cell) = 4.8
&SYSTEM
  ibrav = 0, nat = 10, ntyp = 3
/
ATOMIC_SPECIES
Cu 63.55 Cu.upf
Sn 118.71 Sn.upf
Au 196.97 Au.upf
CELL_PARAMETERS angstrom
3.452 0.000 0.000
0.000 3.452 0.000
0.000 0.000 16.343
ATOMIC_POSITIONS crystal
Cu 0.000 0.500 0.250
Cu 0.000 0.500 0.750
Cu 0.500 0.000 0.250
Cu 0.500 0.000 0.750
Sn 0.000 0.000 0.113
Sn 0.000 0.000 0.887
Sn 0.500 0.500 0.387
Sn 0.500 0.500 0.613
Au 0.000 0.000 0.500
Au 0.500 0.500 0.000

---

No. 4
! Cu6SnAu, optimized geometry, DFT GGA-PBE; values from VASP
! - symmetry = No. 38
! - energy of formation from the pure elements (meV per atom) = -4.4
! - DOS at the Fermi energy (states/eV/cell) = 6.4
&SYSTEM
  ibrav = 0, nat = 16, ntyp = 3
/
ATOMIC_SPECIES
Cu 63.55 Cu.upf
Sn 118.71 Sn.upf
Au 196.97 Au.upf
CELL_PARAMETERS angstrom
4.388 0.000 0.000
0.000 5.502 0.000
0.000 0.000 9.277
ATOMIC_POSITIONS crystal
Cu 0.000 0.000 0.000
Cu 0.000 0.235 0.239
Cu 0.000 0.265 0.739
Cu 0.000 0.500 0.500
Cu 0.000 0.735 0.739
Cu 0.000 0.765 0.239
Cu 0.500 0.000 0.316
Cu 0.500 0.238 0.075
Cu 0.500 0.262 0.575
Cu 0.500 0.500 0.816
Cu 0.500 0.738 0.575
Cu 0.500 0.762 0.075
Sn 0.500 0.000 0.820
Sn 0.500 0.500 0.320
Au 0.000 0.000 0.494
Au 0.000 0.500 0.994

---

Question: Which of these has the lowest DOS at the Fermi energy?
Answer: CuSnAu